Run P
An optimized crystal structure of LiCa2Sc, computed with GGA-PBE.

Cell lengths 5.617, 5.617, 5.617 Å; angles 60.00, 60.00, 60.00 degrees
Sites, in units of the cell vectors:
Ca 0.000 0.000 0.000
Ca 0.250 0.250 0.250
Li 0.500 0.500 0.500
Sc 0.750 0.750 0.750

Values from the calculation:
**N(E_F)**: 7.12 states/eV per cell
**Magnetic moment**: 0.016 μB per cell
**Calculated volume**: 125 Å³ per cell

***

Run Q
An optimized crystal structure of LiCa2Sc, computed with GGA-PBE.

Cell lengths 6.545, 6.545, 6.545 Å; angles 145.62, 127.40, 64.36 degrees
Sites, in units of the cell vectors:
Ca 0.976 0.976 0.000
Ca 0.524 0.524 0.000
Li 0.750 0.250 0.500
Sc 0.250 0.750 0.500

Values from the calculation:
**N(E_F)**: 6.14 states/eV per cell
**Magnetic moment**: 0.841 μB per cell
**Calculated volume**: 124 Å³ per cell

***

Run R
An optimized crystal structure of LiCa2Sc, computed with GGA-PBE.

Cell lengths 6.771, 6.771, 6.771 Å; angles 148.14, 129.56, 60.91 degrees
Sites, in units of the cell vectors:
Ca 0.006 0.006 0.000
Ca 0.726 0.226 0.500
Li 0.490 0.490 0.000
Sc 0.278 0.778 0.500

Values from the calculation:
**N(E_F)**: 5.95 states/eV per cell
**Magnetic moment**: 0.005 μB per cell
**Calculated volume**: 125 Å³ per cell

***

Relative to the most stable structure, the computed energies are run P 95; run Q 53; run R 0, all in meV per atom.

***

Run P
An optimized crystal structure of LiCaSc, computed with GGA-PBE.

Cell lengths 3.466, 3.466, 8.300 Å; angles 90.00, 90.00, 120.00 degrees
Sites, in units of the cell vectors:
Ca 0.000 0.000 0.000
Li 0.667 0.333 0.349
Sc 0.333 0.667 0.650

Values from the calculation:
**N(E_F)**: 4.23 states/eV per cell
**Magnetic moment**: 0.757 μB per cell
**Calculated volume**: 86 Å³ per cell

***

Run Q
An optimized crystal structure of LiCaSc, computed with GGA-PBE.

Cell lengths 3.696, 3.696, 12.329 Å; angles 90.00, 90.00, 90.00 degrees
Sites, in units of the cell vectors:
Li 0.000 0.500 0.556
Li 0.500 0.000 0.444
Ca 0.500 0.000 0.737
Ca 0.000 0.500 0.263
Sc 0.000 0.500 0.931
Sc 0.500 0.000 0.069

Values from the calculation:
**N(E_F)**: 5.57 states/eV per cell
**Magnetic moment**: 0.375 μB per cell
**Calculated volume**: 168 Å³ per cell

***

Run R
An optimized crystal structure of LiCaSc, computed with GGA-PBE.

Cell lengths 6.918, 6.918, 6.918 Å; angles 149.96, 149.96, 43.00 degrees
Sites, in units of the cell vectors:
Ca 0.990 0.990 0.000
Li 0.322 0.322 0.000
Sc 0.688 0.688 0.000

Values from the calculation:
**N(E_F)**: 4.97 states/eV per cell
**Magnetic moment**: 0.598 μB per cell
**Calculated volume**: 83 Å³ per cell

***

Run S
An optimized crystal structure of LiCaSc, computed with GGA-PBE.

Cell lengths 5.090, 5.090, 5.090 Å; angles 60.00, 60.00, 60.00 degrees
Sites, in units of the cell vectors:
Ca 0.500 0.500 0.500
Li 0.750 0.750 0.750
Sc 0.000 0.000 0.000

Values from the calculation:
**N(E_F)**: 5.17 states/eV per cell
**Magnetic moment**: 0.005 μB per cell
**Calculated volume**: 93 Å³ per cell

***

Relative to the most stable structure, the computed energies are run P 158; run Q 0; run R 118; run S 456, all in meV per atom.

***

Run P
An optimized crystal structure of LiCaSc2, computed with GGA-PBE.

Cell lengths 6.570, 6.570, 3.283 Å; angles 78.20, 78.20, 122.78 degrees
Sites, in units of the cell vectors:
Ca 0.500 0.000 0.500
Li 0.000 0.500 0.500
Sc 0.000 0.000 0.000
Sc 0.500 0.500 0.000

Values from the calculation:
**N(E_F)**: 6.10 states/eV per cell
**Magnetic moment**: 0.000 μB per cell
**Calculated volume**: 108 Å³ per cell

***

Run Q
An optimized crystal structure of LiCaSc2, computed with GGA-PBE.

Cell lengths 5.419, 4.453, 4.453 Å; angles 90.00, 90.00, 90.00 degrees
Sites, in units of the cell vectors:
Ca 0.500 0.500 0.000
Li 0.500 0.000 0.500
Sc 0.000 0.000 0.000
Sc 0.000 0.500 0.500

Values from the calculation:
**N(E_F)**: 5.65 states/eV per cell
**Magnetic moment**: 0.594 μB per cell
**Calculated volume**: 107 Å³ per cell

***

Relative to the most stable structure, the computed energies are run P 0; run Q 13, all in meV per atom.

***

Run P
An optimized crystal structure of LiCaSc2, computed with GGA-PBE.

Cell lengths 6.513, 6.513, 5.317 Å; angles 65.94, 65.94, 31.04 degrees
Sites, in units of the cell vectors:
Ca 0.750 0.750 0.750
Li 0.250 0.250 0.250
Sc 0.976 0.976 0.024
Sc 0.524 0.524 0.476

Values from the calculation:
**N(E_F)**: 7.26 states/eV per cell
**Magnetic moment**: 0.073 μB per cell
**Calculated volume**: 105 Å³ per cell

***

Run Q
An optimized crystal structure of LiCaSc2, computed with GGA-PBE.

Cell lengths 5.063, 5.063, 11.327 Å; angles 77.09, 77.09, 90.00 degrees
Sites, in units of the cell vectors:
Sc 0.373 0.125 0.250
Sc 0.377 0.625 0.250
Sc 0.375 0.627 0.750
Sc 0.875 0.623 0.750
Ca 0.000 0.000 0.000
Ca 0.750 0.250 0.500
Li 0.500 0.500 0.000
Li 0.250 0.750 0.500

Values from the calculation:
**N(E_F)**: 11.62 states/eV per cell
**Magnetic moment**: 0.001 μB per cell
**Calculated volume**: 275 Å³ per cell

***

Relative to the most stable structure, the computed energies are run P 0; run Q 700, all in meV per atom.